No. 1
## Ce2HoScP4 (PBE)

Data for a relaxed structure of Ce2HoScP4.

- total energy (eV for the cell shown) = -56.49
- SG = P2/m (10)
- size of the total moment (μB per formula unit) = 0.9

Unit cell a=6.8713 b=3.9920 c=6.9094 alpha=90.00 beta=109.59 gamma=90.00
Last column: nearest neighbours and their distance in Å.
Element x y z (fractional)
Ce  0.0000  0.0000  0.0000  6 P 2.83
Ce  0.0000  0.5000  0.5000  6 P 2.89
Ho  0.5000  0.0000  0.5000  6 P 2.80
Sc  0.5000  0.5000  0.0000  6 P 2.74-2.75
P  0.2592  0.5000  0.2466  1 Sc 2.74, 2 Ho 2.80, 3 Ce 2.83-2.89
P  0.2636  0.0000  0.7609  2 Sc 2.75, 1 Ho 2.80, 3 Ce 2.83-2.89
P  0.7364  0.0000  0.2391  2 Sc 2.75, 1 Ho 2.80, 3 Ce 2.83-2.89
P  0.7408  0.5000  0.7534  1 Sc 2.74, 2 Ho 2.80, 3 Ce 2.83-2.89

No. 2
## YTmInHg (PBE)

Data for a relaxed structure of YTmInHg.

- total energy (eV for the cell shown) = -15.84
- SG = F-43m (216)
- size of the total moment (μB per formula unit) = 0.0

Unit cell a=5.2732 b=5.2732 c=5.2732 alpha=60.00 beta=60.00 gamma=60.00
Last column: nearest neighbours and their distance in Å.
Element x y z (fractional)
Y  0.0000  0.0000  0.0000  4 Hg 3.23, 4 In 3.23
Tm  0.5000  0.5000  0.5000  4 Hg 3.23, 4 In 3.23
In  0.2500  0.2500  0.2500  4 Tm 3.23, 4 Y 3.23
Hg  0.7500  0.7500  0.7500  4 Tm 3.23, 4 Y 3.23

No. 3
## TiTlPbCl6 (PBE)

Data for a relaxed structure of TiTlPbCl6.

- total energy (eV for the cell shown) = -73.79
- SG = P-31c (163)
- formation energy (no corrections) (kJ/mol of atoms) = -127.0
- size of the total moment (μB per formula unit) = 1.0

Unit cell a=7.1235 b=7.1235 c=13.2395 alpha=90.00 beta=90.00 gamma=120.00
Last column: nearest neighbours and their distance in Å.
Element x y z (fractional)
Ti  0.3333  0.6667  0.2500  6 Cl 2.45
Ti  0.6667  0.3333  0.7500  6 Cl 2.45
Tl  0.0000  0.0000  0.0000  6 Cl 3.25
Tl  0.0000  0.0000  0.5000  6 Cl 3.25
Pb  0.3333  0.6667  0.7500  6 Cl 2.91
Pb  0.6667  0.3333  0.2500  6 Cl 2.91
Cl  0.0484  0.3943  0.1421  1 Ti 2.45
Cl  0.0484  0.6541  0.3579  1 Ti 2.45
Cl  0.3459  0.3943  0.3579  1 Ti 2.45
Cl  0.3459  0.9516  0.1421  1 Ti 2.45
Cl  0.3943  0.0484  0.6421  1 Ti 2.45
Cl  0.3943  0.3459  0.8579  1 Ti 2.45
Cl  0.6057  0.6541  0.1421  1 Ti 2.45
Cl  0.6057  0.9516  0.3579  1 Ti 2.45
Cl  0.6541  0.0484  0.8579  1 Ti 2.45
Cl  0.6541  0.6057  0.6421  1 Ti 2.45
Cl  0.9516  0.3459  0.6421  1 Ti 2.45
Cl  0.9516  0.6057  0.8579  1 Ti 2.45

No. 4
## DyY3Fe8 (PBE)

Data for a relaxed structure of DyY3Fe8.

- total energy (eV for the cell shown) = -92.51
- SG = R3m (160)
- size of the total moment (μB per formula unit) = 13.2

Unit cell a=8.8983 b=8.8983 c=8.8983 alpha=33.60 beta=33.60 gamma=33.60
Last column: nearest neighbours and their distance in Å.
Element x y z (fractional)
Dy  0.0000  0.0000  0.0000  12 Fe 3.01-3.02, 4 Y 3.14-3.15
Y  0.3749  0.3749  0.3749  12 Fe 3.01-3.02, 1 Y 3.15, 3 Dy 3.15
Y  0.5000  0.5000  0.5000  12 Fe 3.02, 4 Y 3.15
Y  0.8751  0.8751  0.8751  12 Fe 3.02, 1 Dy 3.14, 3 Y 3.15
Fe  0.1875  0.1875  0.1875  6 Fe 2.57
Fe  0.4370  0.9376  0.9376  6 Fe 2.57-2.58
Fe  0.4377  0.4377  0.9376  6 Fe 2.57
Fe  0.4377  0.9376  0.4377  6 Fe 2.57
Fe  0.6875  0.6875  0.6875  6 Fe 2.57
Fe  0.9376  0.4370  0.9376  6 Fe 2.57-2.58
Fe  0.9376  0.4377  0.4377  6 Fe 2.57
Fe  0.9376  0.9376  0.4370  6 Fe 2.57-2.58

No. 5
## Ni2RuSe (PBE)

Data for a relaxed structure of Ni2RuSe.

- total energy (eV for the cell shown) = -22.28
- SG = Cmm2 (35)
- formation energy (no corrections) (kJ/mol of atoms) = 49.3
- size of the total moment (μB per formula unit) = 1.3

Unit cell a=2.7152 b=2.7152 c=8.2745 alpha=90.00 beta=90.00 gamma=115.25
Last column: nearest neighbours and their distance in Å.
Element x y z (fractional)
Ni  0.0000  0.0000  0.0000  6 Ni 2.43-2.72, 2 Se 2.49
Ni  0.5000  0.5000  0.2349  6 Ni 2.43-2.72, 2 Ru 2.49
Ru  0.0000  0.0000  0.4789  2 Ni 2.49, 2 Se 2.71, 4 Ru 2.72
Se  0.5000  0.5000  0.7559  2 Ni 2.49, 2 Ru 2.71, 4 Se 2.72

No. 6
## NaNp6S8 (PBE)

Data for a relaxed structure of NaNp6S8.

- total energy (eV for the cell shown) = -132.19
- energy above the lowest structure with this stoichiometry (eV per formula unit) = 0.000
- SG = Fm-3m (225)
- formation energy (no corrections) (kJ/mol of atoms) = -130.0
- size of the total moment (μB per formula unit) = 24.4

Unit cell a=7.7947 b=7.7947 c=7.7947 alpha=60.00 beta=60.00 gamma=60.00
Last column: nearest neighbours and their distance in Å.
Element x y z (fractional)
Na  0.0000  0.0000  0.0000  6 S 2.79
Np  0.0000  0.0000  0.5000  6 S 2.76
Np  0.0000  0.5000  0.0000  6 S 2.76
Np  0.0000  0.5000  0.5000  6 S 2.76
Np  0.5000  0.0000  0.0000  6 S 2.76
Np  0.5000  0.0000  0.5000  6 S 2.76
Np  0.5000  0.5000  0.0000  6 S 2.76
S  0.2500  0.2500  0.2500  6 Np 2.76
S  0.2535  0.2535  0.7465  4 Np 2.76, 1 Na 2.79
S  0.2535  0.7465  0.2535  4 Np 2.76, 1 Na 2.79
S  0.2535  0.7465  0.7465  4 Np 2.76, 1 Na 2.79
S  0.7465  0.2535  0.2535  4 Np 2.76, 1 Na 2.79
S  0.7465  0.2535  0.7465  4 Np 2.76, 1 Na 2.79
S  0.7465  0.7465  0.2535  4 Np 2.76, 1 Na 2.79
S  0.7500  0.7500  0.7500  6 Np 2.76